Density functional theory data (PBE-GGA) for a geometry-optimized LiBeSbI2 structure.

```
5
Lattice="-1.7575 1.3515 -5.3219 0.4388 -5.5355 -1.5506 -4.4223 -0.7092 1.2803" Properties=species:S:1:pos:R:3 pbc="T T T"
I 0.2194 -2.7677 -0.7753
I -0.8787 0.6757 -2.6610
Sb -2.2111 -0.3546 0.6401
Li -2.8705 -2.4466 -2.7961
Be 0.0000 0.0000 0.0000
```

Results
Uncorrected energy in eV/atom: -2.51
Crystal system: tetragonal
Theoretical density in g/cm3: 4.20
E_form (uncorrected) in eV per formula unit: 0.29
Energy relative to the lowest polymorph listed for this composition in meV per atom: 0